Record 1
NaGa2Ge2 | PBEsol | optimized geometry

Cell: 4.5417 4.5417 10.0262 Å, 90.00 90.00 90.00°
Closest atoms and distances in Å follow each position.
Space group I4/mmm (No. 139)
Unique sites:
Na: 0.0000 0.0000 0.0000  8 Ga 3.38, 10 Ge 3.44-3.77
Ga: 0.0000 0.5000 0.2500  4 Ge 2.60
Ge: 0.0000 0.0000 0.3762  1 Ge 2.48, 4 Ga 2.60

Energy of formation in meV per atom: -87
VASP energy in eV/cell: -36.8

Record 2
LiHg2Cl | PBEsol | optimized geometry

Cell: 3.9790 3.9790 6.1084 Å, 90.00 90.00 90.00°
Closest atoms and distances in Å follow each position.
Space group P4/mmm (No. 123)
Unique sites:
Li: 0.0000 0.0000 0.0000  4 Cl 2.81
Hg: 0.0000 0.5000 0.5000  4 Hg 2.81
Cl: 0.5000 0.5000 0.0000  4 Li 2.81

Energy above the lowest structure with this stoichiometry in eV/atom: 0.130
VASP energy in eV/cell: -7.6
Formation energy without anion corrections in eV/atom: -0.631

Record 3
GaIr3W | PBEsol | optimized geometry

Cell: 4.4098 4.4098 4.4098 Å, 90.00 90.00 90.00°
Closest atoms and distances in Å follow each position.
Space group Pm-3m (No. 221)
Unique sites:
Ga: 0.0000 0.0000 0.0000  6 Ir 2.20
Ir: 0.0000 0.0000 0.5000  2 Ga 2.20
W: 0.5000 0.5000 0.5000  12 Ir 3.12

Energy of formation in meV per atom: 1600
VASP energy in eV/cell: -38.6

Record 4
MgAg2Au | PBEsol | optimized geometry

Cell: 9.4828 3.0521 4.8430 Å, 90.00 103.23 90.00°
Closest atoms and distances in Å follow each position.
Space group Cm (No. 8)
Unique sites:
Mg: 0.0000 0.0000 0.0000  3 Au 2.79-2.88, 7 Ag 2.85-2.93, 2 Mg 3.05
Ag: 0.0042 0.5000 0.5042  5 Ag 2.84-3.05, 4 Mg 2.85-2.87, 3 Au 2.87-2.94
Ag: 0.2529 0.5000 0.2690  5 Ag 2.84-3.05, 4 Au 2.86-2.87, 3 Mg 2.89-2.93
Au: 0.2552 0.0000 0.7710  3 Mg 2.79-2.88, 7 Ag 2.86-2.94, 2 Au 3.05

Energy of formation in meV per atom: -210
VASP energy in eV/cell: -26.2

Record 5
CaAsP | PBEsol | optimized geometry

Cell: 3.5861 3.5861 9.7186 Å, 90.00 90.00 90.00°
Closest atoms and distances in Å follow each position.
Space group I4mm (No. 107)
Unique sites:
Ca: 0.0000 0.0000 0.0000  1 As 2.80, 1 P 2.80
As: 0.0000 0.0000 0.2879  4 P 2.64, 1 Ca 2.80
P: 0.0000 0.0000 0.7120  4 As 2.64, 1 Ca 2.80

Energy of formation in meV per atom: -476
VASP energy in eV/cell: -28.9

Record 6
K2HfNi | PBEsol | optimized geometry

Cell: 7.7141 7.7141 7.7141 Å, 90.00 90.00 90.00°
Closest atoms and distances in Å follow each position.
Space group Fm-3m (No. 225)
Unique sites:
K: 0.2500 0.2500 0.2500  4 Hf 3.34, 4 Ni 3.34
Hf: 0.0000 0.0000 0.0000  8 K 3.34
Ni: 0.0000 0.0000 0.5000  8 K 3.34

Energy of formation in meV per atom: 1716
VASP energy in eV/cell: -48.3

Record 7
YScS2Cl | PBEsol | optimized geometry

Cell: 4.8632 4.8632 4.6427 Å, 90.00 90.00 90.00°
Closest atoms and distances in Å follow each position.
Space group P4/mmm (No. 123)
Unique sites:
Y: 0.0000 0.0000 0.0000  8 S 3.36, 4 Cl 3.44
Sc: 0.5000 0.5000 0.5000  2 Cl 2.32, 4 S 2.43
S: 0.0000 0.5000 0.5000  2 Sc 2.43
Cl: 0.5000 0.5000 0.0000  2 Sc 2.32

VASP energy in eV/cell: -31.3
Formation energy without anion corrections in eV/atom: -1.423

Record 8
SrCdRu2 | PBEsol | optimized geometry

Cell: 2.8952 3.5812 7.5997 Å, 90.00 90.00 90.00°
Closest atoms and distances in Å follow each position.
Space group Pmm2 (No. 25)
Unique sites:
Sr: 0.0000 0.0000 0.0000  2 Sr 2.90, 4 Ru 3.23
Cd: 0.5000 0.5000 0.3292  5 Ru 2.84-2.93, 2 Cd 2.90
Ru: 0.0000 0.0000 0.5668  4 Ru 2.52
Ru: 0.5000 0.5000 0.7026  4 Ru 2.52

Energy of formation in meV per atom: 311
VASP energy in eV/cell: -22.1

Record 9
SrMgCl2 | PBEsol | optimized geometry

Cell: 4.2597 4.2597 28.5753 Å, 90.00 90.00 120.00°
Closest atoms and distances in Å follow each position.
Space group R-3m (No. 166, hexagonal axes)
Unique sites:
Sr: 0.0000 0.0000 0.0000  6 Cl 2.86
Mg: 0.0000 0.0000 0.5000  6 Cl 4.12, 6 Mg 4.26
Cl: 0.0000 0.0000 0.2823  3 Sr 2.86

Energy above the lowest structure with this stoichiometry in eV/atom: 0.000
VASP energy in eV/cell: -40.5
Formation energy without anion corrections in eV/atom: -1.481

Record 10
RbInTcBi2 | PBEsol | optimized geometry

Cell: 5.8239 5.8239 5.2103 Å, 90.00 90.00 90.00°
Closest atoms and distances in Å follow each position.
Space group P4/mmm (No. 123)
Unique sites:
Rb: 0.0000 0.0000 0.0000  8 Bi 3.91, 4 Tc 4.12
In: 0.5000 0.5000 0.5000  2 Tc 2.61, 4 Bi 2.91
Tc: 0.5000 0.5000 0.0000  2 In 2.61
Bi: 0.0000 0.5000 0.5000  2 In 2.91

Energy of formation in meV per atom: 958
VASP energy in eV/cell: -19.1

Record 11
CsNiSb3 | PBEsol | optimized geometry

Cell: 5.9632 5.9632 5.9632 Å, 90.00 90.00 90.00°
Closest atoms and distances in Å follow each position.
Space group Pm-3m (No. 221)
Unique sites:
Cs: 0.0000 0.0000 0.0000  6 Sb 2.98
Ni: 0.5000 0.5000 0.5000  12 Sb 4.22
Sb: 0.0000 0.0000 0.5000  2 Cs 2.98

VASP energy in eV/cell: -9.8
Formation energy without anion corrections in eV/atom: 2.202

Record 12
TiAs2Ir | PBEsol | optimized geometry

Cell: 6.2228 6.2228 6.2228 Å, 90.00 90.00 90.00°
Closest atoms and distances in Å follow each position.
Space group Fm-3m (No. 225)
Unique sites:
Ti: 0.0000 0.0000 0.0000  8 As 2.69
As: 0.2500 0.2500 0.2500  4 Ir 2.69, 4 Ti 2.69
Ir: 0.0000 0.0000 0.5000  8 As 2.69

Energy of formation in meV per atom: -293
VASP energy in eV/cell: -118.1

> Which of these has the lowest VASP energy?

TiAs2Ir

> The highest VASP energy belongs to which entry?

LiHg2Cl